# Cd3SnAu

Crystalline Cd3SnAu at its relaxed geometry (PBE-GGA, the Alexandria database).

Cell and atoms, written as CIF:
```
data_Cd3SnAu
_symmetry_space_group_name_H-M 'P 1 21/m 1'
_symmetry_Int_Tables_number 11
_cell_length_a 3.124
_cell_length_b 8.635
_cell_length_c 8.914
_cell_angle_alpha 90.00
_cell_angle_beta 90.17
_cell_angle_gamma 90.00
loop_
_symmetry_equiv_pos_as_xyz
'x,y,z'
'-x,-y,-z'
'-x,y+1/2,-z'
'x,-y+1/2,z'
loop_
_atom_site_label
_atom_site_type_symbol
_atom_site_fract_x
_atom_site_fract_y
_atom_site_fract_z
_atom_site_occupancy
Cd1 Cd 0.249 0.034 0.262 1
Cd2 Cd 0.251 0.750 0.523 1
Sn1 Sn 0.251 0.750 0.966 1
Au1 Au 0.250 0.250 0.753 1
```

Properties
As for the energy above the lowest structure with this stoichiometry: 0.010 eV/atom. Its density of states at the Fermi level is 1.5 states/eV/f.u. The total magnetization is 0.00 μB/atom. The value obtained for the formation energy from the elements is -0.2 eV/f.u. The value obtained for the total DFT energy (no corrections) is -2.036 eV/atom.


# CdSnAu3

Crystalline CdSnAu3 at its relaxed geometry (PBE-GGA, the Alexandria database).

Cell and atoms, written as CIF:
```
data_CdSnAu3
_symmetry_space_group_name_H-M 'P m -3 m'
_symmetry_Int_Tables_number 221
_symmetry_space_group_name_Hall '-P 4 2 3'
_cell_length_a 5.226
_cell_length_b 5.226
_cell_length_c 5.226
_cell_angle_alpha 90.00
_cell_angle_beta 90.00
_cell_angle_gamma 90.00
loop_
_atom_site_label
_atom_site_type_symbol
_atom_site_fract_x
_atom_site_fract_y
_atom_site_fract_z
_atom_site_occupancy
Cd1 Cd 0.000 0.000 0.000 1
Sn1 Sn 0.500 0.500 0.500 1
Au1 Au 0.000 0.500 0.500 1
```

Properties
As for the energy above the lowest structure with this stoichiometry: 0.513 eV/atom. Its density of states at the Fermi level is 1.8 states/eV/f.u. The total magnetization is 0.00 μB/atom. The value obtained for the formation energy from the elements is 1.9 eV/f.u. The value obtained for the total DFT energy (no corrections) is -2.572 eV/atom.


# Cd7SnAu4

Crystalline Cd7SnAu4 at its relaxed geometry (PBE-GGA, the Alexandria database).

Cell and atoms, written as CIF:
```
data_Cd7SnAu4
_symmetry_space_group_name_H-M 'C 1 2/m 1'
_symmetry_Int_Tables_number 12
_cell_length_a 12.667
_cell_length_b 5.309
_cell_length_c 10.200
_cell_angle_alpha 90.00
_cell_angle_beta 125.99
_cell_angle_gamma 90.00
loop_
_symmetry_equiv_pos_as_xyz
'x,y,z'
'-x,-y,-z'
'-x,y,-z'
'x,-y,z'
'x+1/2,y+1/2,z'
'-x+1/2,-y+1/2,-z'
'-x+1/2,y+1/2,-z'
'x+1/2,-y+1/2,z'
loop_
_atom_site_label
_atom_site_type_symbol
_atom_site_fract_x
_atom_site_fract_y
_atom_site_fract_z
_atom_site_occupancy
Cd1 Cd 0.000 0.000 0.000 1
Cd2 Cd 0.068 0.500 0.349 1
Cd3 Cd 0.156 0.000 0.579 1
Cd4 Cd 0.214 0.500 0.886 1
Sn1 Sn 0.000 0.500 0.000 1
Au1 Au 0.070 0.000 0.773 1
Au2 Au 0.213 0.000 0.333 1
```

Properties
Its density of states at the Fermi level is 4.8 states/eV/f.u. The total magnetization is 0.00 μB/atom. The value obtained for the formation energy from the elements is -0.1 eV/f.u. The value obtained for the total DFT energy (no corrections) is -1.970 eV/atom.


# CdSn3Au4

Crystalline CdSn3Au4 at its relaxed geometry (PBE-GGA, the Alexandria database).

Cell and atoms, written as CIF:
```
data_CdSn3Au4
_symmetry_space_group_name_H-M 'P 63/m m c'
_symmetry_Int_Tables_number 194
_symmetry_space_group_name_Hall '-P 6c 2c'
_cell_length_a 3.9727
_cell_length_b 3.9727
_cell_length_c 27.4992
_cell_angle_alpha 90.00
_cell_angle_beta 90.00
_cell_angle_gamma 120.00
loop_
_atom_site_label
_atom_site_type_symbol
_atom_site_fract_x
_atom_site_fract_y
_atom_site_fract_z
_atom_site_occupancy
Cd1 Cd 0.3333 0.6667 0.2500 1
Sn1 Sn 0.0000 0.0000 0.0000 1
Sn2 Sn 0.3333 0.6667 0.6278 1
Au1 Au 0.0000 0.0000 0.1888 1
Au2 Au 0.3333 0.6667 0.0635 1
```

Properties
Its density of states at the Fermi level is 2.4 states/eV/f.u. The total magnetization is 0.00 μB/atom. The value obtained for the formation energy from the elements is -1.1 eV/f.u. The value obtained for the total DFT energy (no corrections) is -3.386 eV/atom.


# Cd3SnAu3

Crystalline Cd3SnAu3 at its relaxed geometry (PBE-GGA, the Alexandria database).

Cell and atoms, written as CIF:
```
data_Cd3SnAu3
_symmetry_space_group_name_H-M 'P m -3 n'
_symmetry_Int_Tables_number 223
_symmetry_space_group_name_Hall '-P 4n 2 3'
_cell_length_a 7.581
_cell_length_b 7.581
_cell_length_c 7.581
_cell_angle_alpha 90.00
_cell_angle_beta 90.00
_cell_angle_gamma 90.00
loop_
_atom_site_label
_atom_site_type_symbol
_atom_site_fract_x
_atom_site_fract_y
_atom_site_fract_z
_atom_site_occupancy
Cd1 Cd 0.000 0.250 0.500 1
Sn1 Sn 0.000 0.000 0.000 1
Au1 Au 0.000 0.500 0.250 1
```

Properties
As for the energy above the lowest structure with this stoichiometry: 0.491 eV/atom. Its density of states at the Fermi level is 3.7 states/eV/f.u. The total magnetization is 0.00 μB/atom. The value obtained for the formation energy from the elements is 2.6 eV/f.u. The value obtained for the total DFT energy (no corrections) is -1.999 eV/atom.


# Cd5SnAu3

Crystalline Cd5SnAu3 at its relaxed geometry (PBE-GGA, the Alexandria database).

Cell and atoms, written as CIF:
```
data_Cd5SnAu3
_symmetry_space_group_name_H-M 'C 1 2/c 1'
_symmetry_Int_Tables_number 15
_cell_length_a 14.693
_cell_length_b 6.723
_cell_length_c 9.156
_cell_angle_alpha 90.00
_cell_angle_beta 107.67
_cell_angle_gamma 90.00
loop_
_symmetry_equiv_pos_as_xyz
'x,y,z'
'-x,-y,-z'
'-x,y,-z+1/2'
'x,-y,z+1/2'
'x+1/2,y+1/2,z'
'-x+1/2,-y+1/2,-z'
'-x+1/2,y+1/2,-z+1/2'
'x+1/2,-y+1/2,z+1/2'
loop_
_atom_site_label
_atom_site_type_symbol
_atom_site_fract_x
_atom_site_fract_y
_atom_site_fract_z
_atom_site_occupancy
Cd1 Cd 0.000 0.246 0.250 1
Cd2 Cd 0.170 0.254 0.092 1
Cd3 Cd 0.171 0.261 0.580 1
Sn1 Sn 0.000 0.256 0.750 1
Au1 Au 0.000 0.500 0.000 1
Au2 Au 0.162 0.009 0.832 1
```

Properties
As for the energy above the lowest structure with this stoichiometry: 0.000 eV/atom. Its density of states at the Fermi level is 3.0 states/eV/f.u. The total magnetization is 0.00 μB/atom. The value obtained for the formation energy from the elements is -1.6 eV/f.u. The value obtained for the total DFT energy (no corrections) is -2.218 eV/atom.


# CdSn4Au3

Crystalline CdSn4Au3 at its relaxed geometry (PBE-GGA, the Alexandria database).

Cell and atoms, written as CIF:
```
data_CdSn4Au3
_symmetry_space_group_name_H-M 'P 1 2/m 1'
_symmetry_Int_Tables_number 10
_cell_length_a 4.937
_cell_length_b 4.798
_cell_length_c 8.597
_cell_angle_alpha 90.00
_cell_angle_beta 102.50
_cell_angle_gamma 90.00
loop_
_symmetry_equiv_pos_as_xyz
'x,y,z'
'-x,-y,-z'
'-x,y,-z'
'x,-y,z'
loop_
_atom_site_label
_atom_site_type_symbol
_atom_site_fract_x
_atom_site_fract_y
_atom_site_fract_z
_atom_site_occupancy
Cd1 Cd 0.000 0.000 0.000 1
Sn1 Sn 0.116 0.500 0.715 1
Sn2 Sn 0.433 0.000 0.310 1
Au1 Au 0.000 0.000 0.500 1
Au2 Au 0.312 0.500 0.105 1
```

Properties
Its density of states at the Fermi level is 3.9 states/eV/f.u. The total magnetization is 0.00 μB/atom. The value obtained for the formation energy from the elements is -0.7 eV/f.u. The value obtained for the total DFT energy (no corrections) is -3.434 eV/atom.


# Cd2SnAu2

Crystalline Cd2SnAu2 at its relaxed geometry (PBE-GGA, the Alexandria database).

Cell and atoms, written as CIF:
```
data_Cd2SnAu2
_symmetry_space_group_name_H-M 'P 4/m b m'
_symmetry_Int_Tables_number 127
_symmetry_space_group_name_Hall '-P 4 2ab'
_cell_length_a 8.301
_cell_length_b 8.301
_cell_length_c 3.143
_cell_angle_alpha 90.00
_cell_angle_beta 90.00
_cell_angle_gamma 90.00
loop_
_atom_site_label
_atom_site_type_symbol
_atom_site_fract_x
_atom_site_fract_y
_atom_site_fract_z
_atom_site_occupancy
Cd1 Cd 0.134 0.366 0.000 1
Sn1 Sn 0.000 0.000 0.500 1
Au1 Au 0.164 0.664 0.500 1
```

Properties
Its density of states at the Fermi level is 1.7 states/eV/f.u. The total magnetization is 0.00 μB/atom. The value obtained for the formation energy from the elements is -0.6 eV/f.u. The value obtained for the total DFT energy (no corrections) is -2.599 eV/atom.